(1)
! GGA-PBE Cs2BaS2, relaxed; values from VASP
! Crystal system: tetragonal
! Symmetry: No. 127
! Calculated total energy: -0.128 hartree per atom
! Uncorrected formation energy: -1108 meV per atom
&SYSTEM
  ibrav = 0, nat = 10, ntyp = 3
/
ATOMIC_SPECIES
S 32.06 S.upf
Ba 137.33 Ba.upf
Cs 132.91 Cs.upf
ATOMIC_POSITIONS crystal
S 0.8150 0.6850 0.0000
S 0.3150 0.8150 0.0000
S 0.1850 0.3150 0.0000
S 0.6850 0.1850 0.0000
Ba 0.5000 0.5000 0.0000
Ba 0.0000 0.0000 0.0000
Cs 0.3633 0.1367 0.5000
Cs 0.1367 0.6367 0.5000
Cs 0.8633 0.3633 0.5000
Cs 0.6367 0.8633 0.5000
CELL_PARAMETERS angstrom
-4.2252 -6.8544 3.6296
6.2720 -5.4510 -2.9929
2.6437 0.6638 4.3312

***

(2)
! GGA-PBE CsBaS3, relaxed; values from VASP
! Crystal system: cubic
! Symmetry: No. 221
! Calculated total energy: -0.114 hartree per atom
! Uncorrected formation energy: -83 meV per atom
&SYSTEM
  ibrav = 0, nat = 5, ntyp = 3
/
ATOMIC_SPECIES
S 32.06 S.upf
Ba 137.33 Ba.upf
Cs 132.91 Cs.upf
ATOMIC_POSITIONS crystal
S 0.0000 0.0000 0.5000
S 0.5000 0.0000 0.0000
S 0.0000 0.5000 0.0000
Ba 0.5000 0.5000 0.5000
Cs 0.0000 0.0000 0.0000
CELL_PARAMETERS angstrom
-0.4088 4.7310 2.8141
-4.6447 1.2181 -2.7225
-2.9544 -2.5695 3.8907

***

(3)
! GGA-PBE CsBaS2, relaxed; values from VASP
! Crystal system: trigonal
! Symmetry: No. 166
! Calculated total energy: -0.122 hartree per atom
! Uncorrected formation energy: -569 meV per atom
&SYSTEM
  ibrav = 0, nat = 4, ntyp = 3
/
ATOMIC_SPECIES
Ba 137.33 Ba.upf
Cs 132.91 Cs.upf
S 32.06 S.upf
ATOMIC_POSITIONS crystal
Ba 0.0000 0.0000 0.0000
Cs 0.5000 0.5000 0.5000
S 0.0993 0.0993 0.0993
S 0.9007 0.9007 0.9007
CELL_PARAMETERS angstrom
-6.8616 1.0522 6.7372
-2.8533 4.6560 7.9849
-6.5385 5.8730 4.0417

***

Number 1: total magnetization 0.0 μB per cell. Number 2: total magnetization 0.0 μB per cell. Number 3: total magnetization 1.0 μB per cell.